# 1
Entry from Alexandria via LeMat-Bulk: crystalline Ba3Tl5Te12 at its relaxed geometry (PBE).

Output
**Formation energy (no corrections)**: -0.4277 eV per atom
**Magnetic moment**: 0.0 μB/f.u.

a b c (Å): 16.278 16.278 16.278
angles (deg): 109.47 109.47 109.47
Fractional coordinates of all 80 atoms:
Ba 0.125 0.250 0.375
Ba 0.125 0.375 0.750
Ba 0.250 0.375 0.125
Ba 0.250 0.875 0.625
Ba 0.375 0.125 0.250
Ba 0.375 0.750 0.125
Ba 0.625 0.250 0.875
Ba 0.625 0.875 0.750
Ba 0.750 0.125 0.375
Ba 0.750 0.625 0.875
Ba 0.875 0.625 0.250
Ba 0.875 0.750 0.625
Tl 0.000 0.000 0.000
Tl 0.000 0.000 0.500
Tl 0.000 0.500 0.000
Tl 0.000 0.500 0.500
Tl 0.125 0.750 0.875
Tl 0.125 0.875 0.250
Tl 0.250 0.125 0.875
Tl 0.250 0.625 0.375
Tl 0.375 0.250 0.625
Tl 0.375 0.625 0.750
Tl 0.500 0.000 0.000
Tl 0.500 0.000 0.500
Tl 0.500 0.500 0.000
Tl 0.500 0.500 0.500
Tl 0.625 0.375 0.250
Tl 0.625 0.750 0.375
Tl 0.750 0.375 0.625
Tl 0.750 0.875 0.125
Tl 0.875 0.125 0.750
Tl 0.875 0.250 0.125
Te 0.039 0.212 0.125
Te 0.039 0.327 0.913
Te 0.086 0.712 0.673
Te 0.086 0.875 0.413
Te 0.087 0.625 0.414
Te 0.087 0.961 0.673
Te 0.125 0.039 0.212
Te 0.125 0.587 0.914
Te 0.173 0.212 0.586
Te 0.173 0.461 0.587
Te 0.212 0.125 0.039
Te 0.212 0.586 0.173
Te 0.288 0.327 0.914
Te 0.288 0.461 0.375
Te 0.327 0.913 0.039
Te 0.327 0.914 0.288
Te 0.375 0.288 0.461
Te 0.375 0.586 0.913
Te 0.413 0.086 0.875
Te 0.413 0.827 0.539
Te 0.414 0.087 0.625
Te 0.414 0.827 0.788
Te 0.461 0.375 0.288
Te 0.461 0.587 0.173
Te 0.539 0.413 0.827
Te 0.539 0.625 0.712
Te 0.586 0.173 0.212
Te 0.586 0.913 0.375
Te 0.587 0.173 0.461
Te 0.587 0.914 0.125
Te 0.625 0.414 0.087
Te 0.625 0.712 0.539
Te 0.673 0.086 0.712
Te 0.673 0.087 0.961
Te 0.712 0.539 0.625
Te 0.712 0.673 0.086
Te 0.788 0.414 0.827
Te 0.788 0.875 0.961
Te 0.827 0.539 0.413
Te 0.827 0.788 0.414
Te 0.875 0.413 0.086
Te 0.875 0.961 0.788
Te 0.913 0.039 0.327
Te 0.913 0.375 0.586
Te 0.914 0.125 0.587
Te 0.914 0.288 0.327
Te 0.961 0.673 0.087
Te 0.961 0.788 0.875

# 2
Entry from Alexandria via LeMat-Bulk: crystalline TbPtPb at its relaxed geometry (PBE).

Output
**Formation energy**: -69 kJ per mole of atoms
**Magnetic moment**: 0.0 μB/f.u.

a b c (Å): 4.753 4.753 3.601
angles (deg): 90.00 90.00 120.00
Fractional coordinates of all 3 atoms:
Tb 0.000 0.000 0.000
Pt 0.333 0.667 0.500
Pb 0.667 0.333 0.500

# 3
Entry from Alexandria via LeMat-Bulk: crystalline Ho2Pd4Se5 at its relaxed geometry (PBE).

Output
**Formation energy (no corrections)**: -0.8586 eV per atom
**Magnetic moment**: 0.0 μB/f.u.

a b c (Å): 16.669 16.669 16.669
angles (deg): 14.33 14.33 14.33
Fractional coordinates of all 11 atoms:
Ho 0.130 0.130 0.130
Ho 0.870 0.870 0.870
Pd 0.317 0.317 0.317
Pd 0.421 0.421 0.421
Pd 0.579 0.579 0.579
Pd 0.683 0.683 0.683
Se 0.233 0.233 0.233
Se 0.368 0.368 0.368
Se 0.500 0.500 0.500
Se 0.632 0.632 0.632
Se 0.767 0.767 0.767

# 4
Entry from Alexandria via LeMat-Bulk: crystalline MgGaAs2 at its relaxed geometry (PBE).

Output
**Formation energy**: -22 kJ per mole of atoms
**Magnetic moment**: 0.0 μB/f.u.
**Excess energy over the best structure of this formula in the dataset**: 0.0 meV/atom

a b c (Å): 3.994 3.994 7.650
angles (deg): 105.09 105.09 60.12
Fractional coordinates of all 4 atoms:
Mg 0.000 0.000 0.000
Ga 0.505 0.505 0.513
As 0.393 0.393 0.178
As 0.881 0.881 0.640

# 5
Entry from Alexandria via LeMat-Bulk: crystalline CeHoNi2 at its relaxed geometry (PBE).

Output
**Formation energy**: -24 kJ per mole of atoms
**Magnetic moment**: 0.0 μB/f.u.
**Excess energy over the best structure of this formula in the dataset**: 148.6 meV/atom

a b c (Å): 6.889 6.889 6.889
angles (deg): 32.69 32.69 32.69
Fractional coordinates of all 4 atoms:
Ce 0.000 0.000 0.000
Ho 0.500 0.500 0.500
Ni 0.253 0.253 0.253
Ni 0.747 0.747 0.747

# 6
Entry from Alexandria via LeMat-Bulk: crystalline Na2Y3HoTe6 at its relaxed geometry (PBE).

Output
**Formation energy (no corrections)**: -1.3176 eV per atom
**Magnetic moment**: 0.0 μB/f.u.

a b c (Å): 7.596 7.596 7.701
angles (deg): 99.45 99.45 119.94
Fractional coordinates of all 12 atoms:
Na 0.166 0.834 0.000
Na 0.834 0.166 0.000
Y 0.000 0.000 0.500
Y 0.331 0.669 0.500
Y 0.669 0.331 0.500
Ho 0.500 0.500 0.000
Te 0.088 0.416 0.749
Te 0.257 0.257 0.255
Te 0.416 0.088 0.749
Te 0.584 0.912 0.251
Te 0.743 0.743 0.745
Te 0.912 0.584 0.251

# 7
Entry from Alexandria via LeMat-Bulk: crystalline Nd4Ge2Bi at its relaxed geometry (PBE).

Output
**Formation energy**: -65 kJ per mole of atoms
**Magnetic moment**: 0.0 μB/f.u.

a b c (Å): 8.441 8.441 8.441
angles (deg): 109.38 109.38 109.66
Fractional coordinates of all 14 atoms:
Nd 0.209 0.278 0.569
Nd 0.209 0.639 0.931
Nd 0.278 0.209 0.069
Nd 0.361 0.791 0.569
Nd 0.639 0.209 0.431
Nd 0.722 0.791 0.931
Nd 0.791 0.361 0.069
Nd 0.791 0.722 0.431
Ge 0.000 0.500 0.500
Ge 0.500 0.000 0.000
Ge 0.500 0.500 0.000
Ge 0.500 0.500 0.500
Bi 0.125 0.875 0.250
Bi 0.875 0.125 0.750

# 8
Entry from Alexandria via LeMat-Bulk: crystalline AcCeNiRh at its relaxed geometry (PBE).

Output
**Formation energy**: -34 kJ per mole of atoms
**Magnetic moment**: 0.8 μB/f.u.

a b c (Å): 5.069 5.069 5.069
angles (deg): 60.00 60.00 60.00
Fractional coordinates of all 4 atoms:
Ac 0.000 0.000 0.000
Ce 0.500 0.500 0.500
Ni 0.250 0.250 0.250
Rh 0.750 0.750 0.750

# 9
Entry from Alexandria via LeMat-Bulk: crystalline Pm3Tl3GaTe8 at its relaxed geometry (PBE).

Output
**Formation energy (no corrections)**: -0.8035 eV per atom
**Magnetic moment**: 0.0 μB/f.u.

a b c (Å): 9.621 9.621 9.621
angles (deg): 55.27 55.27 55.27
Fractional coordinates of all 15 atoms:
Pm 0.000 0.500 0.500
Pm 0.500 0.000 0.500
Pm 0.500 0.500 0.000
Tl 0.000 0.000 0.500
Tl 0.000 0.500 0.000
Tl 0.500 0.000 0.000
Ga 0.000 0.000 0.000
Te 0.223 0.223 0.760
Te 0.223 0.760 0.223
Te 0.240 0.777 0.777
Te 0.259 0.259 0.259
Te 0.741 0.741 0.741
Te 0.760 0.223 0.223
Te 0.777 0.240 0.777
Te 0.777 0.777 0.240

# 10
Entry from Alexandria via LeMat-Bulk: crystalline ZrTi2CuAg at its relaxed geometry (PBE).

Output
**Formation energy**: 61 kJ per mole of atoms
**Magnetic moment**: 4.2 μB/f.u.

a b c (Å): 4.648 4.648 4.722
angles (deg): 90.00 90.00 90.00
Fractional coordinates of all 5 atoms:
Zr 0.000 0.000 0.000
Ti 0.000 0.500 0.500
Ti 0.500 0.000 0.500
Cu 0.500 0.500 0.500
Ag 0.500 0.500 0.000

# 11
Entry from Alexandria via LeMat-Bulk: crystalline Tb5Pr4Mg2 at its relaxed geometry (PBE).

Output
**Formation energy**: 13 kJ per mole of atoms
**Magnetic moment**: 0.0 μB/f.u.
**Excess energy over the best structure of this formula in the dataset**: 61.3 meV/atom

a b c (Å): 9.111 9.111 11.634
angles (deg): 93.01 93.01 22.19
Fractional coordinates of all 11 atoms:
Tb 0.000 0.000 0.000
Tb 0.288 0.288 0.616
Tb 0.324 0.324 0.920
Tb 0.676 0.676 0.080
Tb 0.712 0.712 0.384
Pr 0.144 0.144 0.810
Pr 0.476 0.476 0.723
Pr 0.524 0.524 0.277
Pr 0.856 0.856 0.190
Mg 0.090 0.090 0.531
Mg 0.910 0.910 0.469

# 12
Entry from Alexandria via LeMat-Bulk: crystalline MgScMo2 at its relaxed geometry (PBE).

Output
**Formation energy**: 39 kJ per mole of atoms
**Magnetic moment**: 0.0 μB/f.u.

a b c (Å): 9.818 9.818 9.818
angles (deg): 17.15 17.15 17.15
Fractional coordinates of all 4 atoms:
Mg 0.000 0.000 0.000
Sc 0.500 0.500 0.500
Mo 0.250 0.250 0.250
Mo 0.750 0.750 0.750

# 13
Entry from Alexandria via LeMat-Bulk: crystalline RbPaGe2S8 at its relaxed geometry (PBE).

Output
**Formation energy (no corrections)**: -0.5812 eV per atom
**Magnetic moment**: 2.0 μB/f.u.

a b c (Å): 6.383 6.383 9.260
angles (deg): 90.00 90.00 120.00
Fractional coordinates of all 12 atoms:
Rb 0.000 0.000 0.000
Pa 0.000 0.000 0.500
Ge 0.333 0.667 0.737
Ge 0.667 0.333 0.263
S 0.006 0.668 0.330
S 0.332 0.338 0.330
S 0.333 0.667 0.977
S 0.338 0.006 0.670
S 0.662 0.994 0.330
S 0.667 0.333 0.023
S 0.668 0.662 0.670
S 0.994 0.332 0.670

# 14
Entry from Alexandria via LeMat-Bulk: crystalline Tb3Dy8 at its relaxed geometry (PBE).

Output
**Formation energy**: 54 kJ per mole of atoms
**Magnetic moment**: 0.0 μB/f.u.
**Excess energy over the best structure of this formula in the dataset**: 168.0 meV/atom

a b c (Å): 7.118 7.118 7.118
angles (deg): 84.79 84.79 84.79
Fractional coordinates of all 11 atoms:
Tb 0.000 0.500 0.500
Tb 0.500 0.000 0.500
Tb 0.500 0.500 0.000
Dy 0.117 0.848 0.697
Dy 0.152 0.303 0.883
Dy 0.303 0.883 0.152
Dy 0.383 0.383 0.383
Dy 0.617 0.617 0.617
Dy 0.697 0.117 0.848
Dy 0.848 0.697 0.117
Dy 0.883 0.152 0.303

# 15
Entry from Alexandria via LeMat-Bulk: crystalline MnAsN at its relaxed geometry (PBE).

Output
**Formation energy (no corrections)**: 0.0832 eV per atom
**Magnetic moment**: 0.0 μB/f.u.

a b c (Å): 2.807 2.807 13.597
angles (deg): 95.65 95.65 89.99
Fractional coordinates of all 6 atoms:
Mn 0.225 0.225 0.447
Mn 0.775 0.775 0.553
As 0.331 0.331 0.672
As 0.669 0.669 0.328
N 0.020 0.020 0.041
N 0.980 0.980 0.959

# 16
Entry from Alexandria via LeMat-Bulk: crystalline Ho3Mg3Ag2 at its relaxed geometry (PBE).

Output
**Formation energy**: -15 kJ per mole of atoms
**Magnetic moment**: 0.0 μB/f.u.
**Excess energy over the best structure of this formula in the dataset**: 17.7 meV/atom

a b c (Å): 4.963 5.147 7.526
angles (deg): 90.00 90.00 90.00
Fractional coordinates of all 8 atoms:
Ho 0.000 0.000 0.000
Ho 0.000 0.000 0.500
Ho 0.500 0.500 0.000
Mg 0.000 0.500 0.266
Mg 0.000 0.500 0.734
Mg 0.500 0.500 0.500
Ag 0.500 0.000 0.248
Ag 0.500 0.000 0.752

# 17
Entry from Alexandria via LeMat-Bulk: crystalline Tb2Sc2Tl at its relaxed geometry (PBE).

Output
**Formation energy**: 0 kJ per mole of atoms
**Magnetic moment**: 0.0 μB/f.u.
**Excess energy over the best structure of this formula in the dataset**: 0.0 meV/atom

a b c (Å): 6.291 6.291 8.233
angles (deg): 106.50 106.50 103.36
Fractional coordinates of all 10 atoms:
Tb 0.003 0.636 0.789
Tb 0.364 0.997 0.211
Tb 0.636 0.003 0.789
Tb 0.997 0.364 0.211
Sc 0.257 0.257 0.907
Sc 0.399 0.399 0.621
Sc 0.601 0.601 0.379
Sc 0.743 0.743 0.093
Tl 0.155 0.845 0.500
Tl 0.845 0.155 0.500

# 18
Entry from Alexandria via LeMat-Bulk: crystalline Na2GaTcC at its relaxed geometry (PBE).

Output
**Formation energy**: 198 kJ per mole of atoms
**Magnetic moment**: 5.1 μB/f.u.

a b c (Å): 5.857 5.857 4.807
angles (deg): 90.00 90.00 90.00
Fractional coordinates of all 5 atoms:
Na 0.000 0.500 0.000
Na 0.500 0.000 0.000
Ga 0.000 0.000 0.500
Tc 0.000 0.000 0.000
C 0.500 0.500 0.500

# 19
Entry from Alexandria via LeMat-Bulk: crystalline Er2Zn16Pt at its relaxed geometry (PBE).

Output
**Formation energy**: -27 kJ per mole of atoms
**Magnetic moment**: 0.0 μB/f.u.

a b c (Å): 6.768 6.768 6.768
angles (deg): 82.71 82.71 82.71
Fractional coordinates of all 19 atoms:
Er 0.000 0.000 0.000
Er 0.331 0.331 0.331
Zn 0.021 0.021 0.512
Zn 0.021 0.512 0.021
Zn 0.168 0.670 0.670
Zn 0.313 0.313 0.833
Zn 0.313 0.833 0.313
Zn 0.376 0.670 0.963
Zn 0.376 0.963 0.670
Zn 0.512 0.021 0.021
Zn 0.567 0.567 0.567
Zn 0.670 0.168 0.670
Zn 0.670 0.376 0.963
Zn 0.670 0.670 0.168
Zn 0.670 0.963 0.376
Zn 0.833 0.313 0.313
Zn 0.963 0.376 0.670
Zn 0.963 0.670 0.376
Pt 0.771 0.771 0.771

# 20
Entry from Alexandria via LeMat-Bulk: crystalline CaAg2Os at its relaxed geometry (PBE).

Output
**Formation energy**: 50 kJ per mole of atoms
**Magnetic moment**: 0.0 μB/f.u.
**Excess energy over the best structure of this formula in the dataset**: 74.5 meV/atom

a b c (Å): 5.802 5.802 5.802
angles (deg): 150.06 128.70 60.54
Fractional coordinates of all 4 atoms:
Ca 0.000 0.000 0.000
Ag 0.492 0.492 0.000
Ag 0.733 0.233 0.500
Os 0.259 0.759 0.500

# 21
Entry from Alexandria via LeMat-Bulk: crystalline RbNbTeIr at its relaxed geometry (PBE).

Output
**Formation energy (no corrections)**: 0.0583 eV per atom
**Magnetic moment**: 0.0 μB/f.u.
**Excess energy over the best structure of this formula in the dataset**: 163.7 meV/atom

a b c (Å): 3.617 4.061 7.844
angles (deg): 90.00 96.73 90.00
Fractional coordinates of all 4 atoms:
Rb 0.000 0.000 0.000
Nb 0.852 0.500 0.402
Te 0.419 0.500 0.676
Ir 0.432 0.000 0.428